HfRe2TcIr | GGA-PBE | optimized geometry

Cell lengths 4.6615, 4.5703, 4.6615 Å; angles 90.00, 90.00, 90.00 degrees
Element x y z (fractional)
Re 0.0000 0.0000 0.5000
Hf 0.0000 0.0000 0.0000
Tc 0.0000 0.5000 0.0000
Ir 0.5000 0.5000 0.5000
Re 0.5000 0.0000 0.0000

Computed properties:
**SG**: P4/mmm (123)
**ρ**: 14.06 g/cm³
**ΔE_f**: 2.508 eV/atom
**E**: -0.6106 Ry per atom